No. 1
Ba2InGaH: optimized geometry, PBE.

E_tot (eV/atom): -2.8617
Space-group type: P4/mmm
Relative energy among the computed polymorphs (meV per atom): 22
Density of states at the Fermi level (states/eV/f.u.): 3.93

Lattice parameters (Å, degrees): 5.6773 5.6773 4.5589 90.00 90.00 90.00
Closest atoms and distances in Å follow each position.
Fractional coordinates of all 5 atoms:
H 0.0000 0.0000 0.0000  2 In 2.28
Ba 0.0000 0.5000 0.0000  2 H 2.84
Ba 0.5000 0.0000 0.0000  2 H 2.84
Ga 0.5000 0.5000 0.5000  8 Ba 3.64, 4 In 4.01
In 0.0000 0.0000 0.5000  2 H 2.28



No. 2
CeZn12Ag4: optimized geometry, PBE.

E_tot (eV/atom): -1.7243
Energy relative to the elements (eV per atom): 0.19
Space-group type: Im-3
Density of states at the Fermi level (states/eV/f.u.): 14.92

Lattice parameters (Å, degrees): 7.6936 7.6936 7.6936 109.47 109.47 109.47
Closest atoms and distances in Å follow each position.
Fractional coordinates of all 17 atoms:
Ce 0.0000 0.0000 0.0000  12 Zn 3.43
Zn 0.8541 0.3571 0.2113  2 Zn 2.54-2.59, 2 Ag 2.59
Zn 0.3571 0.5030 0.1459  2 Zn 2.54-2.59, 2 Ag 2.59
Zn 0.7887 0.1459 0.6429  2 Zn 2.54-2.59, 2 Ag 2.59
Zn 0.3571 0.2113 0.8541  2 Zn 2.54-2.59, 2 Ag 2.59
Zn 0.2113 0.8541 0.3571  2 Zn 2.54-2.59, 2 Ag 2.59
Zn 0.6429 0.4970 0.8541  2 Zn 2.54-2.59, 2 Ag 2.59
Zn 0.5030 0.1459 0.3571  2 Zn 2.54-2.59, 2 Ag 2.59
Zn 0.4970 0.8541 0.6429  2 Zn 2.54-2.59, 2 Ag 2.59
Zn 0.6429 0.7887 0.1459  2 Zn 2.54-2.59, 2 Ag 2.59
Zn 0.8541 0.6429 0.4970  2 Zn 2.54-2.59, 2 Ag 2.59
Zn 0.1459 0.3571 0.5030  2 Zn 2.54-2.59, 2 Ag 2.59
Zn 0.1459 0.6429 0.7887  2 Zn 2.54-2.59, 2 Ag 2.59
Ag 0.0000 0.5000 0.0000  6 Zn 2.59
Ag 0.5000 0.0000 0.0000  6 Zn 2.59
Ag 0.5000 0.5000 0.5000  6 Zn 2.59
Ag 0.0000 0.0000 0.5000  6 Zn 2.59



No. 3
LaHfTl2B: optimized geometry, PBE.

E_tot (eV/atom): -4.8154
Energy relative to the elements (eV per atom): 0.44
Space-group type: P4/mmm
Density of states at the Fermi level (states/eV/f.u.): 3.06

Lattice parameters (Å, degrees): 5.5063 4.5417 5.5063 90.00 90.00 90.00
Closest atoms and distances in Å follow each position.
Fractional coordinates of all 5 atoms:
Tl 0.0000 0.0000 0.5000  2 Hf 2.75
Tl 0.5000 0.0000 0.0000  2 Hf 2.75
B 0.0000 0.5000 0.0000  2 Hf 2.27
Hf 0.0000 0.0000 0.0000  2 B 2.27
La 0.5000 0.5000 0.5000  8 Tl 3.57, 4 B 3.89



No. 4
Pu3GaRh3: optimized geometry, PBE.

E_tot (eV/atom): -10.2417
Energy relative to the elements (eV per atom): -0.52
Space-group type: Cmcm
Density of states at the Fermi level (states/eV/f.u.): 25.07

Lattice parameters (Å, degrees): 4.2675 5.4865 13.3221 90.00 90.00 112.89
Closest atoms and distances in Å follow each position.
Fractional coordinates of all 14 atoms:
Pu 0.2008 0.4016 0.8945  6 Rh 2.83-3.04
Pu 0.7992 0.5984 0.1055  6 Rh 2.83-3.04
Pu 0.2008 0.4016 0.6055  6 Rh 2.83-3.04
Pu 0.7992 0.5984 0.3945  6 Rh 2.83-3.04
Pu 0.4778 0.9557 0.7500  1 Rh 2.74
Pu 0.5222 0.0443 0.2500  1 Rh 2.74
Ga 0.5000 0.0000 0.0000  4 Rh 2.59
Ga 0.5000 0.0000 0.5000  4 Rh 2.59
Rh 0.9132 0.8264 0.9116  2 Ga 2.59, 1 Rh 2.72, 1 Pu 2.83
Rh 0.0868 0.1736 0.0884  2 Ga 2.59, 1 Rh 2.72, 1 Pu 2.83
Rh 0.9132 0.8264 0.5884  2 Ga 2.59, 1 Rh 2.72, 1 Pu 2.83
Rh 0.0868 0.1736 0.4116  2 Ga 2.59, 1 Rh 2.72, 1 Pu 2.83
Rh 0.7484 0.4968 0.7500  2 Rh 2.72, 5 Pu 2.74-2.91
Rh 0.2516 0.5032 0.2500  2 Rh 2.72, 5 Pu 2.74-2.91



No. 5
Dy6PuSc: optimized geometry, PBE.

E_tot (eV/atom): -5.8010
Energy relative to the elements (eV per atom): 0.23
Space-group type: C2/m
Density of states at the Fermi level (states/eV/f.u.): 14.74

Lattice parameters (Å, degrees): 6.4503 6.3921 6.6527 90.94 61.00 91.94
Closest atoms and distances in Å follow each position.
Fractional coordinates of all 8 atoms:
Dy 0.0445 0.7500 0.5506  1 Pu 3.26, 6 Dy 3.28-3.46, 1 Sc 3.30
Dy 0.5951 0.7500 0.4494  1 Pu 3.26, 6 Dy 3.28-3.46, 1 Sc 3.30
Dy 0.4049 0.2500 0.5506  1 Pu 3.26, 6 Dy 3.28-3.46, 1 Sc 3.30
Dy 0.9555 0.2500 0.4494  1 Pu 3.26, 6 Dy 3.28-3.46, 1 Sc 3.30
Dy 0.4692 0.7476 0.0000  6 Dy 3.20-3.46, 1 Sc 3.37, 1 Pu 3.48
Dy 0.5308 0.2524 0.0000  6 Dy 3.20-3.46, 1 Sc 3.37, 1 Pu 3.48
Pu 0.0000 0.0000 0.0000  2 Sc 3.20, 6 Dy 3.26-3.48
Sc 0.0000 0.5000 0.0000  2 Pu 3.20, 6 Dy 3.30-3.37



No. 6
Ag5I12Br3: optimized geometry, PBE.

E_tot (eV/atom): -1.7968
Space-group type: Ia-3d
Uncorrected formation energy (meV per atom): 97.0
Density of states at the Fermi level (states/eV/f.u.): 17.25

Lattice parameters (Å, degrees): 16.3477 16.3477 16.3477 109.47 109.47 109.47
Closest atoms and distances in Å follow each position.
Fractional coordinates of all 80 atoms:
Br 0.7500 0.3750 0.1250  4 I 3.17
Br 0.8750 0.7500 0.1250  4 I 3.17
Br 0.3750 0.7500 0.6250  4 I 3.17
Br 0.2500 0.1250 0.3750  4 I 3.17
Br 0.8750 0.1250 0.2500  4 I 3.17
Br 0.3750 0.6250 0.2500  4 I 3.17
Br 0.6250 0.3750 0.7500  4 I 3.17
Br 0.1250 0.8750 0.7500  4 I 3.17
Br 0.7500 0.8750 0.6250  4 I 3.17
Br 0.6250 0.2500 0.3750  4 I 3.17
Br 0.1250 0.2500 0.8750  4 I 3.17
Br 0.2500 0.6250 0.8750  4 I 3.17
Ag 0.1250 0.3750 0.2500  4 I 2.85
Ag 0.0000 0.5000 0.0000  6 I 2.92
Ag 0.0000 0.0000 0.0000  6 I 2.92
Ag 0.3750 0.2500 0.1250  4 I 2.85
Ag 0.5000 0.0000 0.5000  6 I 2.92
Ag 0.5000 0.5000 0.0000  6 I 2.92
Ag 0.1250 0.7500 0.3750  4 I 2.85
Ag 0.7500 0.1250 0.8750  4 I 2.85
Ag 0.7500 0.6250 0.3750  4 I 2.85
Ag 0.3750 0.1250 0.7500  4 I 2.85
Ag 0.6250 0.8750 0.2500  4 I 2.85
Ag 0.5000 0.5000 0.5000  6 I 2.92
Ag 0.5000 0.0000 0.0000  6 I 2.92
Ag 0.0000 0.0000 0.5000  6 I 2.92
Ag 0.2500 0.3750 0.6250  4 I 2.85
Ag 0.2500 0.8750 0.1250  4 I 2.85
Ag 0.0000 0.5000 0.5000  6 I 2.92
Ag 0.8750 0.2500 0.6250  4 I 2.85
Ag 0.6250 0.7500 0.8750  4 I 2.85
Ag 0.8750 0.6250 0.7500  4 I 2.85
I 0.6327 0.1424 0.9687  2 Ag 2.85-2.92, 1 Br 3.17
I 0.3360 0.4687 0.3263  2 Ag 2.85-2.92, 1 Br 3.17
I 0.0313 0.3576 0.3673  2 Ag 2.85-2.92, 1 Br 3.17
I 0.4687 0.1327 0.1424  2 Ag 2.85-2.92, 1 Br 3.17
I 0.4903 0.6327 0.6640  2 Ag 2.85-2.92, 1 Br 3.17
I 0.0313 0.6737 0.1640  2 Ag 2.85-2.92, 1 Br 3.17
I 0.3360 0.8673 0.5097  2 Ag 2.85-2.92, 1 Br 3.17
I 0.1737 0.0097 0.1424  2 Ag 2.85-2.92, 1 Br 3.17
I 0.6737 0.0313 0.6640  2 Ag 2.85-2.92, 1 Br 3.17
I 0.6327 0.4903 0.1640  2 Ag 2.85-2.92, 1 Br 3.17
I 0.8673 0.5313 0.3576  2 Ag 2.85-2.92, 1 Br 3.17
I 0.8360 0.8263 0.9687  2 Ag 2.85-2.92, 1 Br 3.17
I 0.1424 0.6327 0.4687  2 Ag 2.85-2.92, 1 Br 3.17
I 0.3576 0.3263 0.9903  2 Ag 2.85-2.92, 1 Br 3.17
I 0.9903 0.8263 0.3576  2 Ag 2.85-2.92, 1 Br 3.17
I 0.5097 0.1424 0.6737  2 Ag 2.85-2.92, 1 Br 3.17
I 0.9903 0.1640 0.1327  2 Ag 2.85-2.92, 1 Br 3.17
I 0.5313 0.6640 0.1737  2 Ag 2.85-2.92, 1 Br 3.17
I 0.8360 0.0097 0.3673  2 Ag 2.85-2.92, 1 Br 3.17
I 0.1424 0.5097 0.1737  2 Ag 2.85-2.92, 1 Br 3.17
I 0.3576 0.0313 0.8673  2 Ag 2.85-2.92, 1 Br 3.17
I 0.6737 0.6424 0.5097  2 Ag 2.85-2.92, 1 Br 3.17
I 0.8263 0.8360 0.4687  2 Ag 2.85-2.92, 1 Br 3.17
I 0.8673 0.3360 0.0097  2 Ag 2.85-2.92, 1 Br 3.17
I 0.3263 0.3576 0.4903  2 Ag 2.85-2.92, 1 Br 3.17
I 0.1737 0.1640 0.5313  2 Ag 2.85-2.92, 1 Br 3.17
I 0.1327 0.6640 0.9903  2 Ag 2.85-2.92, 1 Br 3.17
I 0.1640 0.9903 0.6327  2 Ag 2.85-2.92, 1 Br 3.17
I 0.6424 0.9687 0.1327  2 Ag 2.85-2.92, 1 Br 3.17
I 0.8576 0.4903 0.8263  2 Ag 2.85-2.92, 1 Br 3.17
I 0.4687 0.3360 0.8263  2 Ag 2.85-2.92, 1 Br 3.17
I 0.4903 0.8576 0.3263  2 Ag 2.85-2.92, 1 Br 3.17
I 0.0097 0.8360 0.8673  2 Ag 2.85-2.92, 1 Br 3.17
I 0.0097 0.1737 0.6424  2 Ag 2.85-2.92, 1 Br 3.17
I 0.8576 0.3673 0.5313  2 Ag 2.85-2.92, 1 Br 3.17
I 0.1640 0.1737 0.0313  2 Ag 2.85-2.92, 1 Br 3.17
I 0.6424 0.6737 0.0097  2 Ag 2.85-2.92, 1 Br 3.17
I 0.3263 0.9687 0.3360  2 Ag 2.85-2.92, 1 Br 3.17
I 0.3673 0.5097 0.8360  2 Ag 2.85-2.92, 1 Br 3.17
I 0.1327 0.4687 0.6424  2 Ag 2.85-2.92, 1 Br 3.17
I 0.8263 0.9903 0.8576  2 Ag 2.85-2.92, 1 Br 3.17
I 0.6640 0.1327 0.4903  2 Ag 2.85-2.92, 1 Br 3.17
I 0.5313 0.8673 0.8576  2 Ag 2.85-2.92, 1 Br 3.17
I 0.9687 0.3263 0.8360  2 Ag 2.85-2.92, 1 Br 3.17
I 0.5097 0.3673 0.3360  2 Ag 2.85-2.92, 1 Br 3.17
I 0.9687 0.6424 0.6327  2 Ag 2.85-2.92, 1 Br 3.17
I 0.6640 0.5313 0.6737  2 Ag 2.85-2.92, 1 Br 3.17
I 0.3673 0.8576 0.0313  2 Ag 2.85-2.92, 1 Br 3.17



Q: density of states at the Fermi level of number 1 (Ba2InGaH)?
A: 3.93 states/eV/f.u.



Q: Which of these has the lowest density of states at the Fermi level?
A: LaHfTl2B



Q: Among the records above, which one has the lowest density of states at the Fermi level?
A: LaHfTl2B